Record 1
The following is a PBE calculation of Pu3Cu2Sn4 after structural relaxation, from Alexandria via LeMat-Bulk.

Cell lengths 4.4915, 5.9593, 8.5436 Å; angles 92.76, 90.00, 112.14 degrees
With the nearest neighbours (Å) after each atom.
Sites, in units of the cell vectors:
1 Pu 0.6051 0.2102 0.7245  3 Cu 2.98-3.24, 2 Sn 3.22
2 Pu 0.0000 0.0000 0.0000  8 Sn 3.26-3.44, 4 Pu 3.50
3 Pu 0.3949 0.7898 0.2755  3 Cu 2.98-3.24, 2 Sn 3.22
4 Cu 0.7198 0.4396 0.4169  4 Sn 2.65-2.67, 2 Cu 2.72
5 Cu 0.2802 0.5604 0.5831  4 Sn 2.65-2.67, 2 Cu 2.72
6 Sn 0.7030 0.4060 0.1040  1 Cu 2.67
7 Sn 0.2970 0.5940 0.8960  1 Cu 2.67
8 Sn 0.9084 0.8167 0.6209  3 Cu 2.65-2.66
9 Sn 0.0916 0.1833 0.3791  3 Cu 2.65-2.66

density of states at the Fermi level: 2.845 states/eV/atom

---

Record 2
The following is a PBE calculation of PuCu8Sn3 after structural relaxation, from Alexandria via LeMat-Bulk.

Cell lengths 5.1740, 5.1736, 8.4103 Å; angles 90.00, 90.00, 120.00 degrees
With the nearest neighbours (Å) after each atom.
Sites, in units of the cell vectors:
1 Pu 0.0000 0.0000 0.5694  12 Cu 3.02-3.11, 4 Sn 3.15-3.20
2 Cu 0.3333 0.6667 0.4973  6 Cu 2.60-2.63
3 Cu 0.3333 0.6667 0.0012  6 Cu 2.54-2.55
4 Cu 0.5000 0.0000 0.7550  6 Cu 2.55-2.63
5 Cu 0.5000 0.5000 0.7550  6 Cu 2.55-2.63
6 Cu 0.0000 0.5000 0.7550  6 Cu 2.55-2.63
7 Cu 0.1656 0.3312 0.2449  6 Cu 2.54-2.60
8 Cu 0.1656 0.8344 0.2449  6 Cu 2.54-2.60
9 Cu 0.6688 0.8344 0.2449  6 Cu 2.54-2.60
10 Sn 0.6667 0.3333 0.4325  12 Cu 3.03-3.10, 1 Sn 3.17, 3 Pu 3.20
11 Sn 0.6667 0.3333 0.0558  12 Cu 2.94-3.04, 4 Sn 3.13-3.17
12 Sn 0.0000 0.0000 0.9444  12 Cu 2.93-3.04, 3 Sn 3.13, 1 Pu 3.15

density of states at the Fermi level: 1.246 states/eV/atom

---

Record 3
The following is a PBE calculation of PuCu6Sn6 after structural relaxation, from Alexandria via LeMat-Bulk.

Cell lengths 5.6165, 7.1884, 7.1884 Å; angles 78.33, 67.00, 67.00 degrees
With the nearest neighbours (Å) after each atom.
Sites, in units of the cell vectors:
1 Pu 0.0000 0.0000 0.0000  8 Sn 3.08-3.22
2 Cu 0.0000 0.5000 0.0000  6 Sn 2.79-2.90, 4 Cu 2.79-2.81
3 Cu 0.5000 0.5000 0.0000  6 Sn 2.79-2.90, 4 Cu 2.79-2.81
4 Cu 0.0000 0.0000 0.5000  6 Sn 2.79-2.90, 4 Cu 2.79-2.81
5 Cu 0.5000 0.0000 0.5000  6 Sn 2.79-2.90, 4 Cu 2.79-2.81
6 Cu 0.5000 0.7480 0.2520  6 Sn 2.77-2.92, 4 Cu 2.79
7 Cu 0.5000 0.2520 0.7480  6 Sn 2.77-2.92, 4 Cu 2.79
8 Sn 0.3327 0.6673 0.6673  6 Cu 2.77-2.79
9 Sn 0.6673 0.3327 0.3327  6 Cu 2.77-2.79
10 Sn 0.0000 0.3387 0.6613  6 Cu 2.90-2.92, 1 Sn 2.93, 1 Pu 3.08
11 Sn 0.0000 0.6613 0.3387  6 Cu 2.90-2.92, 1 Sn 2.93, 1 Pu 3.08
12 Sn 0.3363 0.1637 0.1637  6 Cu 2.78-2.80
13 Sn 0.6637 0.8363 0.8363  6 Cu 2.78-2.80

density of states at the Fermi level: 0.915 states/eV/atom

---

Record 4
The following is a PBE calculation of PuCuSn after structural relaxation, from Alexandria via LeMat-Bulk.

Cell lengths 3.5322, 4.6694, 4.6694 Å; angles 120.00, 90.00, 90.00 degrees
With the nearest neighbours (Å) after each atom.
Sites, in units of the cell vectors:
1 Sn 0.1664 0.6667 0.3333  3 Cu 2.70
2 Cu 0.1671 0.0000 0.0000  3 Sn 2.70
3 Pu 0.6665 0.3333 0.6667  6 Cu 3.22, 6 Sn 3.22, 2 Pu 3.53

density of states at the Fermi level: 3.419 states/eV/atom

---

| no. | DFT total energy (eV/f.u.) | total moment (μB per formula unit) |
| --- | --- | --- |
| 1 | -69.5 | 17.13 |
| 2 | -59.1 | 5.51 |
| 3 | -63.6 | 5.56 |
| 4 | -23.1 | 5.75 |